Computed, not measured: a relaxed Co3SiH crystal at the PBE level of DFT.

abc: 4.9103 4.9103 7.4084
angles: 90.00 90.00 90.00
Space group I4/mcm (No. 140)
One atom of each set of equivalent atoms:
Co: 0.0000 0.0000 0.2500 [4 per cell]
Co: 0.1964 0.3036 0.0000 [8 per cell]
Si: 0.0000 0.5000 0.2500 [4 per cell]
H: 0.0000 0.0000 0.0000 [4 per cell]

## Properties
Energy above the lowest structure with this stoichiometry, eV per formula unit: 0.00